Compound: Ir2OsRu
Source: the Alexandria database
Functional: PBEsol
Structure: optimized geometry

```
Ir2OsRu
1.0
-1.403 -2.933 1.968
2.759 -2.232 -1.360
2.220 0.933 2.974
Ir Os Ru
2 1 1
direct
0.000 0.500 0.000
0.500 0.000 0.000
0.500 0.500 0.500
0.000 0.000 0.500
```

Computed properties:
Its energy relative to the elements is 0.01 eV per atom. As for the volume: 13.818 Å³/atom. Its energy above the lowest structure with this stoichiometry is 3 meV/atom. For the density, the calculation gives 20.30 g/cm³. The spin magnetization is 0.00 μB per formula unit.